First-principles (PBE) data for crystalline MgTiZn at its relaxed geometry, as listed in Alexandria via LeMat-Bulk.

Output
Mass density   4.3 Mg/m³
Final energy   -10.56 eV/cell
Energy of formation from the pure elements   66 meV per atom
Space group   P-6m2

a = 2.9582 Å, b = 4.5280 Å, c = 4.5280 Å
α = 120.00°, β = 90.00°, γ = 90.00°
Fractional coordinates of all 3 atoms:
Mg 0.8333 0.0000 0.0000
Ti 0.3332 0.3333 0.6667
Zn 0.8335 0.6667 0.3333